Record 1
# GGA-PBE Pm6Y2TmSc, relaxed
data_Pm6Y2TmSc
_chemical_formula_sum 'Pm24 Y8 Tm4 Sc4'
_symmetry_space_group_name_H-M 'C 1 2/c 1'
_symmetry_Int_Tables_number 15
_cell_length_a 9.296
_cell_length_b 15.251
_cell_length_c 9.299
_cell_angle_alpha 90.00
_cell_angle_beta 95.60
_cell_angle_gamma 90.00
loop_
_symmetry_equiv_pos_as_xyz
'x,y,z'
'-x,-y,-z'
'-x,y,-z+1/2'
'x,-y,z+1/2'
'x+1/2,y+1/2,z'
'-x+1/2,-y+1/2,-z'
'-x+1/2,y+1/2,-z+1/2'
'x+1/2,-y+1/2,z+1/2'
loop_
_atom_site_label
_atom_site_type_symbol
_atom_site_fract_x
_atom_site_fract_y
_atom_site_fract_z
Pm1 Pm 0.054 0.175 0.447
Pm2 Pm 0.096 0.385 0.610
Pm3 Pm 0.225 0.217 0.804
Y1 Y 0.245 0.452 0.950
Tm1 Tm 0.000 0.030 0.750
Sc1 Sc 0.000 0.421 0.250
# E_form: 0.13 eV per atom
# calculated total energy: -5.094 eV/atom

***

Record 2
# GGA-PBE PmY2TmSc4, relaxed
data_PmY2TmSc4
_chemical_formula_sum 'Pm4 Y8 Tm4 Sc16'
_symmetry_space_group_name_H-M 'C 1 2/c 1'
_symmetry_Int_Tables_number 15
_cell_length_a 13.061
_cell_length_b 12.652
_cell_length_c 6.542
_cell_angle_alpha 90.00
_cell_angle_beta 120.05
_cell_angle_gamma 90.00
loop_
_symmetry_equiv_pos_as_xyz
'x,y,z'
'-x,-y,-z'
'-x,y,-z+1/2'
'x,-y,z+1/2'
'x+1/2,y+1/2,z'
'-x+1/2,-y+1/2,-z'
'-x+1/2,y+1/2,-z+1/2'
'x+1/2,-y+1/2,z+1/2'
loop_
_atom_site_label
_atom_site_type_symbol
_atom_site_fract_x
_atom_site_fract_y
_atom_site_fract_z
Pm1 Pm 0.250 0.250 0.000
Y1 Y 0.000 0.000 0.000
Y2 Y 0.250 0.250 0.500
Tm1 Tm 0.000 0.500 0.000
Sc1 Sc 0.000 0.252 0.501
Sc2 Sc 0.246 0.499 0.994
# E_form: 0.44 eV per atom
# calculated total energy: -5.494 eV/atom

***

Record 3
# GGA-PBE PmTmScZn, relaxed
data_PmTmScZn
_chemical_formula_sum 'Pm4 Tm4 Sc4 Zn4'
_symmetry_space_group_name_H-M 'F -4 3 m'
_symmetry_Int_Tables_number 216
_symmetry_space_group_name_Hall 'F -4 2 3'
_cell_length_a 7.408
_cell_length_b 7.408
_cell_length_c 7.408
_cell_angle_alpha 90.00
_cell_angle_beta 90.00
_cell_angle_gamma 90.00
loop_
_atom_site_label
_atom_site_type_symbol
_atom_site_fract_x
_atom_site_fract_y
_atom_site_fract_z
Pm1 Pm 0.000 0.000 0.000
Tm1 Tm 0.000 0.000 0.500
Sc1 Sc 0.250 0.250 0.750
Zn1 Zn 0.250 0.250 0.250
# E_form: 0.00 eV per atom
# calculated total energy: -4.210 eV/atom

***

Record 4
# GGA-PBE PmTmScZn, relaxed
data_PmTmScZn
_chemical_formula_sum 'Pm1 Tm1 Sc1 Zn1'
_symmetry_space_group_name_H-M 'P 4 m m'
_symmetry_Int_Tables_number 99
_cell_length_a 3.461
_cell_length_b 3.461
_cell_length_c 8.513
_cell_angle_alpha 90.00
_cell_angle_beta 90.00
_cell_angle_gamma 90.00
loop_
_symmetry_equiv_pos_as_xyz
'x,y,z'
'-y,x,z'
'-x,-y,z'
'y,-x,z'
'-x,y,z'
'y,x,z'
'x,-y,z'
'-y,-x,z'
loop_
_atom_site_label
_atom_site_type_symbol
_atom_site_fract_x
_atom_site_fract_y
_atom_site_fract_z
Pm1 Pm 0.000 0.000 0.000
Tm1 Tm 0.500 0.500 0.690
Sc1 Sc 0.500 0.500 0.291
Zn1 Zn 0.000 0.000 0.472
# E_form: -0.16 eV per atom
# calculated total energy: -4.364 eV/atom

***

Record 5
# GGA-PBE Pm2ScV, relaxed
data_Pm2ScV
_chemical_formula_sum 'Pm6 Sc3 V3'
_symmetry_space_group_name_H-M 'R -3 m'
_symmetry_Int_Tables_number 166
_symmetry_space_group_name_Hall '-R 3 2"'
_cell_length_a 3.3456
_cell_length_b 3.3456
_cell_length_c 33.9320
_cell_angle_alpha 90.00
_cell_angle_beta 90.00
_cell_angle_gamma 120.00
loop_
_atom_site_label
_atom_site_type_symbol
_atom_site_fract_x
_atom_site_fract_y
_atom_site_fract_z
Pm1 Pm 0.0000 0.0000 0.0835
Sc1 Sc 0.0000 0.0000 0.5000
V1 V 0.0000 0.0000 0.0000
# E_form: 0.63 eV per atom
# calculated total energy: -5.606 eV/atom

***

Record 6
# GGA-PBE PmSc2V, relaxed
data_PmSc2V
_chemical_formula_sum 'Pm1 Sc2 V1'
_symmetry_space_group_name_H-M 'P 4/m m m'
_symmetry_Int_Tables_number 123
_symmetry_space_group_name_Hall '-P 4 2'
_cell_length_a 3.429
_cell_length_b 3.429
_cell_length_c 8.293
_cell_angle_alpha 90.00
_cell_angle_beta 90.00
_cell_angle_gamma 90.00
loop_
_atom_site_label
_atom_site_type_symbol
_atom_site_fract_x
_atom_site_fract_y
_atom_site_fract_z
Pm1 Pm 0.000 0.000 0.000
Sc1 Sc 0.500 0.500 0.308
V1 V 0.000 0.000 0.500
# E_form: 0.17 eV per atom
# calculated total energy: -6.462 eV/atom

***

Record 7
# GGA-PBE PmSc2V, relaxed
data_PmSc2V
_chemical_formula_sum 'Pm3 Sc6 V3'
_symmetry_space_group_name_H-M 'R -3 m'
_symmetry_Int_Tables_number 166
_symmetry_space_group_name_Hall '-R 3 2"'
_cell_length_a 3.2141
_cell_length_b 3.2141
_cell_length_c 32.7019
_cell_angle_alpha 90.00
_cell_angle_beta 90.00
_cell_angle_gamma 120.00
loop_
_atom_site_label
_atom_site_type_symbol
_atom_site_fract_x
_atom_site_fract_y
_atom_site_fract_z
Pm1 Pm 0.0000 0.0000 0.0000
Sc1 Sc 0.0000 0.0000 0.4204
V1 V 0.0000 0.0000 0.5000
# E_form: 0.57 eV per atom
# calculated total energy: -6.065 eV/atom

***

Record 8
# GGA-PBE PmScV4, relaxed
data_PmScV4
_chemical_formula_sum 'Pm4 Sc4 V16'
_symmetry_space_group_name_H-M 'F -4 3 m'
_symmetry_Int_Tables_number 216
_symmetry_space_group_name_Hall 'F -4 2 3'
_cell_length_a 7.511
_cell_length_b 7.511
_cell_length_c 7.511
_cell_angle_alpha 90.00
_cell_angle_beta 90.00
_cell_angle_gamma 90.00
loop_
_atom_site_label
_atom_site_type_symbol
_atom_site_fract_x
_atom_site_fract_y
_atom_site_fract_z
Pm1 Pm 0.000 0.000 0.000
Sc1 Sc 0.250 0.250 0.750
V1 V 0.123 0.123 0.377
# E_form: 0.33 eV per atom
# calculated total energy: -7.600 eV/atom

***

Record 9
# GGA-PBE PmScW4, relaxed
data_PmScW4
_chemical_formula_sum 'Pm4 Sc4 W16'
_symmetry_space_group_name_H-M 'F -4 3 m'
_symmetry_Int_Tables_number 216
_symmetry_space_group_name_Hall 'F -4 2 3'
_cell_length_a 7.789
_cell_length_b 7.789
_cell_length_c 7.789
_cell_angle_alpha 90.00
_cell_angle_beta 90.00
_cell_angle_gamma 90.00
loop_
_atom_site_label
_atom_site_type_symbol
_atom_site_fract_x
_atom_site_fract_y
_atom_site_fract_z
Pm1 Pm 0.000 0.000 0.000
Sc1 Sc 0.250 0.250 0.250
W1 W 0.125 0.125 0.625
# E_form: 0.19 eV per atom
# calculated total energy: -10.291 eV/atom

***

Record 10
# GGA-PBE Pm8Y3Sc2, relaxed
data_Pm8Y3Sc2
_chemical_formula_sum 'Pm16 Y6 Sc4'
_symmetry_space_group_name_H-M 'C 1 2/m 1'
_symmetry_Int_Tables_number 12
_cell_length_a 15.022
_cell_length_b 9.248
_cell_length_c 6.778
_cell_angle_alpha 90.00
_cell_angle_beta 109.28
_cell_angle_gamma 90.00
loop_
_symmetry_equiv_pos_as_xyz
'x,y,z'
'-x,-y,-z'
'-x,y,-z'
'x,-y,z'
'x+1/2,y+1/2,z'
'-x+1/2,-y+1/2,-z'
'-x+1/2,y+1/2,-z'
'x+1/2,-y+1/2,z'
loop_
_atom_site_label
_atom_site_type_symbol
_atom_site_fract_x
_atom_site_fract_y
_atom_site_fract_z
Pm1 Pm 0.096 0.000 0.215
Pm2 Pm 0.123 0.181 0.694
Pm3 Pm 0.190 0.500 0.390
Y1 Y 0.000 0.330 0.000
Y2 Y 0.000 0.500 0.500
Sc1 Sc 0.196 0.500 0.918
# E_form: 0.22 eV per atom
# calculated total energy: -5.168 eV/atom

***

Record 11
# GGA-PBE PmY8Sc2, relaxed
data_PmY8Sc2
_chemical_formula_sum 'Pm2 Y16 Sc4'
_symmetry_space_group_name_H-M 'I m m m'
_symmetry_Int_Tables_number 71
_symmetry_space_group_name_Hall '-I 2 2'
_cell_length_a 5.393
_cell_length_b 8.170
_cell_length_c 15.770
_cell_angle_alpha 90.00
_cell_angle_beta 90.00
_cell_angle_gamma 90.00
loop_
_atom_site_label
_atom_site_type_symbol
_atom_site_fract_x
_atom_site_fract_y
_atom_site_fract_z
Pm1 Pm 0.000 0.000 0.000
Y1 Y 0.000 0.201 0.500
Y2 Y 0.000 0.294 0.143
Y3 Y 0.000 0.500 0.335
Sc1 Sc 0.000 0.000 0.300
# E_form: 0.12 eV per atom
# calculated total energy: -6.162 eV/atom

***

Record 12
# GGA-PBE Pm8Y2Sc, relaxed
data_Pm8Y2Sc
_chemical_formula_sum 'Pm8 Y2 Sc1'
_symmetry_space_group_name_H-M 'P 4/m m m'
_symmetry_Int_Tables_number 123
_symmetry_space_group_name_Hall '-P 4 2'
_cell_length_a 5.234
_cell_length_b 5.234
_cell_length_c 13.795
_cell_angle_alpha 90.00
_cell_angle_beta 90.00
_cell_angle_gamma 90.00
loop_
_atom_site_label
_atom_site_type_symbol
_atom_site_fract_x
_atom_site_fract_y
_atom_site_fract_z
Pm1 Pm 0.000 0.000 0.179
Pm2 Pm 0.000 0.500 0.000
Pm3 Pm 0.000 0.500 0.363
Y1 Y 0.500 0.500 0.188
Sc1 Sc 0.500 0.500 0.500
# E_form: 0.16 eV per atom
# calculated total energy: -5.042 eV/atom

***

Record 13
# GGA-PBE Pm12Y7Sc, relaxed
data_Pm12Y7Sc
_chemical_formula_sum 'Pm36 Y21 Sc3'
_symmetry_space_group_name_H-M 'R -3'
_symmetry_Int_Tables_number 148
_symmetry_space_group_name_Hall '-R 3'
_cell_length_a 15.2017
_cell_length_b 15.2017
_cell_length_c 10.0007
_cell_angle_alpha 90.00
_cell_angle_beta 90.00
_cell_angle_gamma 120.00
loop_
_atom_site_label
_atom_site_type_symbol
_atom_site_fract_x
_atom_site_fract_y
_atom_site_fract_z
Pm1 Pm 0.0173 0.2458 0.0510
Pm2 Pm 0.0497 0.1827 0.7397
Y1 Y 0.0000 0.0000 0.0000
Y2 Y 0.0687 0.2543 0.4323
Sc1 Sc 0.0000 0.0000 0.5000
# E_form: 0.16 eV per atom
# calculated total energy: -5.270 eV/atom

***

Record 14
# GGA-PBE Pm2Y7Sc, relaxed
data_Pm2Y7Sc
_chemical_formula_sum 'Pm4 Y14 Sc2'
_symmetry_space_group_name_H-M 'C m m m'
_symmetry_Int_Tables_number 65
_symmetry_space_group_name_Hall '-C 2 2'
_cell_length_a 6.506
_cell_length_b 28.813
_cell_length_c 3.476
_cell_angle_alpha 90.00
_cell_angle_beta 90.00
_cell_angle_gamma 90.00
loop_
_atom_site_label
_atom_site_type_symbol
_atom_site_fract_x
_atom_site_fract_y
_atom_site_fract_z
Pm1 Pm 0.000 0.207 0.000
Y1 Y 0.000 0.000 0.000
Y2 Y 0.000 0.315 0.500
Y3 Y 0.243 0.404 0.000
Sc1 Sc 0.000 0.500 0.500
# E_form: 0.18 eV per atom
# calculated total energy: -5.930 eV/atom

***

Record 15
# GGA-PBE PmY4Sc, relaxed
data_PmY4Sc
_chemical_formula_sum 'Pm2 Y8 Sc2'
_symmetry_space_group_name_H-M 'C 1 2/m 1'
_symmetry_Int_Tables_number 12
_cell_length_a 11.330
_cell_length_b 3.443
_cell_length_c 11.320
_cell_angle_alpha 90.00
_cell_angle_beta 118.29
_cell_angle_gamma 90.00
loop_
_symmetry_equiv_pos_as_xyz
'x,y,z'
'-x,-y,-z'
'-x,y,-z'
'x,-y,z'
'x+1/2,y+1/2,z'
'-x+1/2,-y+1/2,-z'
'-x+1/2,y+1/2,-z'
'x+1/2,-y+1/2,z'
loop_
_atom_site_label
_atom_site_type_symbol
_atom_site_fract_x
_atom_site_fract_y
_atom_site_fract_z
Pm1 Pm 0.000 0.000 0.000
Y1 Y 0.154 0.500 0.837
Y2 Y 0.157 0.000 0.349
Sc1 Sc 0.000 0.500 0.500
# E_form: 0.20 eV per atom
# calculated total energy: -5.954 eV/atom

***

Record 16
# GGA-PBE Pm3Y3Sc5, relaxed
data_Pm3Y3Sc5
_chemical_formula_sum 'Pm3 Y3 Sc5'
_symmetry_space_group_name_H-M 'P -6 2 m'
_symmetry_Int_Tables_number 189
_symmetry_space_group_name_Hall 'P -6 -2'
_cell_length_a 9.0935
_cell_length_b 9.0935
_cell_length_c 5.5961
_cell_angle_alpha 90.00
_cell_angle_beta 90.00
_cell_angle_gamma 120.00
loop_
_atom_site_label
_atom_site_type_symbol
_atom_site_fract_x
_atom_site_fract_y
_atom_site_fract_z
Pm1 Pm 0.0000 0.4850 0.0000
Y1 Y 0.0000 0.2476 0.5000
Sc1 Sc 0.0000 0.6093 0.5000
Sc2 Sc 0.3333 0.6667 0.5000
# E_form: 0.71 eV per atom
# calculated total energy: -5.224 eV/atom

***

Record 17
# GGA-PBE Pm12Y6Sc, relaxed
data_Pm12Y6Sc
_chemical_formula_sum 'Pm36 Y18 Sc3'
_symmetry_space_group_name_H-M 'R -3 m'
_symmetry_Int_Tables_number 166
_symmetry_space_group_name_Hall '-R 3 2"'
_cell_length_a 13.1415
_cell_length_b 13.1415
_cell_length_c 13.0431
_cell_angle_alpha 90.00
_cell_angle_beta 90.00
_cell_angle_gamma 120.00
loop_
_atom_site_label
_atom_site_type_symbol
_atom_site_fract_x
_atom_site_fract_y
_atom_site_fract_z
Pm1 Pm 0.0000 0.2607 0.0000
Pm2 Pm 0.0570 0.5285 0.1117
Y1 Y 0.0893 0.1786 0.7733
Sc1 Sc 0.0000 0.0000 0.0000
# E_form: 0.12 eV per atom
# calculated total energy: -5.252 eV/atom

***

Record 18
# GGA-PBE Pm2Y2Sc, relaxed
data_Pm2Y2Sc
_chemical_formula_sum 'Pm8 Y8 Sc4'
_symmetry_space_group_name_H-M 'C 1 2/m 1'
_symmetry_Int_Tables_number 12
_cell_length_a 8.756
_cell_length_b 9.422
_cell_length_c 8.693
_cell_angle_alpha 90.00
_cell_angle_beta 117.26
_cell_angle_gamma 90.00
loop_
_symmetry_equiv_pos_as_xyz
'x,y,z'
'-x,-y,-z'
'-x,y,-z'
'x,-y,z'
'x+1/2,y+1/2,z'
'-x+1/2,-y+1/2,-z'
'-x+1/2,y+1/2,-z'
'x+1/2,-y+1/2,z'
loop_
_atom_site_label
_atom_site_type_symbol
_atom_site_fract_x
_atom_site_fract_y
_atom_site_fract_z
Pm1 Pm 0.070 0.185 0.214
Y1 Y 0.157 0.500 0.921
Y2 Y 0.212 0.000 0.617
Sc1 Sc 0.000 0.342 0.500
# E_form: 0.09 eV per atom
# calculated total energy: -5.659 eV/atom

***

Record 19
# GGA-PBE Pm7YSc3, relaxed
data_Pm7YSc3
_chemical_formula_sum 'Pm14 Y2 Sc6'
_symmetry_space_group_name_H-M 'I m m m'
_symmetry_Int_Tables_number 71
_symmetry_space_group_name_Hall '-I 2 2'
_cell_length_a 5.813
_cell_length_b 10.779
_cell_length_c 11.317
_cell_angle_alpha 90.00
_cell_angle_beta 90.00
_cell_angle_gamma 90.00
loop_
_atom_site_label
_atom_site_type_symbol
_atom_site_fract_x
_atom_site_fract_y
_atom_site_fract_z
Pm1 Pm 0.000 0.000 0.000
Pm2 Pm 0.000 0.195 0.500
Pm3 Pm 0.000 0.311 0.209
Y1 Y 0.000 0.500 0.500
Sc1 Sc 0.000 0.000 0.289
Sc2 Sc 0.000 0.500 0.000
# E_form: 0.24 eV per atom
# calculated total energy: -5.098 eV/atom

***

Record 20
# GGA-PBE Pm7Y3Sc, relaxed
data_Pm7Y3Sc
_chemical_formula_sum 'Pm7 Y3 Sc1'
_symmetry_space_group_name_H-M 'P 3 m 1'
_symmetry_Int_Tables_number 156
_cell_length_a 7.1212
_cell_length_b 7.1212
_cell_length_c 8.6757
_cell_angle_alpha 90.00
_cell_angle_beta 90.00
_cell_angle_gamma 120.00
loop_
_symmetry_equiv_pos_as_xyz
'x,y,z'
'-y,x-y,z'
'-x+y,-x,z'
'-y,-x,z'
'-x+y,y,z'
'x,x-y,z'
loop_
_atom_site_label
_atom_site_type_symbol
_atom_site_fract_x
_atom_site_fract_y
_atom_site_fract_z
Pm1 Pm 0.0000 0.0000 0.0000
Pm2 Pm 0.1658 0.3315 0.6699
Pm3 Pm 0.5016 0.0032 0.0068
Y1 Y 0.3362 0.1681 0.3433
Sc1 Sc 0.6667 0.3333 0.6776
# E_form: 0.19 eV per atom
# calculated total energy: -5.174 eV/atom

***

Record 21
# GGA-PBE Pm2Y6Sc, relaxed
data_Pm2Y6Sc
_chemical_formula_sum 'Pm8 Y24 Sc4'
_symmetry_space_group_name_H-M 'C 1 2/c 1'
_symmetry_Int_Tables_number 15
_cell_length_a 16.388
_cell_length_b 11.566
_cell_length_c 6.084
_cell_angle_alpha 90.00
_cell_angle_beta 96.58
_cell_angle_gamma 90.00
loop_
_symmetry_equiv_pos_as_xyz
'x,y,z'
'-x,-y,-z'
'-x,y,-z+1/2'
'x,-y,z+1/2'
'x+1/2,y+1/2,z'
'-x+1/2,-y+1/2,-z'
'-x+1/2,y+1/2,-z+1/2'
'x+1/2,-y+1/2,z+1/2'
loop_
_atom_site_label
_atom_site_type_symbol
_atom_site_fract_x
_atom_site_fract_y
_atom_site_fract_z
Pm1 Pm 0.171 0.102 0.064
Y1 Y 0.049 0.141 0.511
Y2 Y 0.109 0.367 0.827
Y3 Y 0.205 0.362 0.360
Sc1 Sc 0.000 0.397 0.250
# E_form: 0.10 eV per atom
# calculated total energy: -5.968 eV/atom

***

Record 22
# GGA-PBE Pm8Y4Sc, relaxed
data_Pm8Y4Sc
_chemical_formula_sum 'Pm24 Y12 Sc3'
_symmetry_space_group_name_H-M 'R -3 m'
_symmetry_Int_Tables_number 166
_symmetry_space_group_name_Hall '-R 3 2"'
_cell_length_a 11.1339
_cell_length_b 11.1339
_cell_length_c 13.4509
_cell_angle_alpha 90.00
_cell_angle_beta 90.00
_cell_angle_gamma 120.00
loop_
_atom_site_label
_atom_site_type_symbol
_atom_site_fract_x
_atom_site_fract_y
_atom_site_fract_z
Pm1 Pm 0.0000 0.0000 0.2431
Pm2 Pm 0.0057 0.5029 0.7456
Y1 Y 0.0000 0.0000 0.0000
Y2 Y 0.0000 0.5000 0.0000
Sc1 Sc 0.0000 0.0000 0.5000
# E_form: 0.50 eV per atom
# calculated total energy: -4.898 eV/atom